## CsAgSnTe3 (GGA-PBE)

Data for CsAgSnTe3 after structural relaxation.

a = 18.317 Å, b = 5.312 Å, c = 9.388 Å
α = 90.00°, β = 93.47°, γ = 90.00°
Space group C2/m (No. 12)
Inequivalent atoms, fractional coordinates:
Cs 0.146 0.000 0.000 (multiplicity 4)
Ag 0.054 0.500 0.332 (multiplicity 4)
Sn 0.152 0.000 0.488 (multiplicity 4)
Te 0.006 0.000 0.286 (multiplicity 4)
Te 0.098 0.500 0.664 (multiplicity 4)
Te 0.204 0.500 0.298 (multiplicity 4)

Summary:
- volume (A^3/atom) = 37.99
- raw formation energy (eV per formula unit) = -1.87